A geometry-optimized SiRh2 structure, computed with GGA-PBE.

Results
volume	82.7	Å³ per cell
SG	Cmcm, No. 63
density of states at the Fermi level	0.6254	states/eV/atom
E_form (uncorrected)	-474	meV/atom

Lattice parameters (Å, degrees): 6.5577 6.5577 4.5341 90.00 90.00 154.90
Sites, in units of the cell vectors:
Rh 0.3651 0.6349 0.2500
Rh 0.0606 0.9394 0.2500
Rh 0.9394 0.0606 0.7500
Rh 0.6349 0.3651 0.7500
Si 0.7115 0.2885 0.2500
Si 0.2885 0.7115 0.7500